VASP calculation (GGA+U) on a relaxed La2Ni2O crystal.

```
data_La2Ni2O
_chemical_formula_sum 'La4 Ni4 O2'
_cell_length_a 5.3007
_cell_length_b 5.3007
_cell_length_c 6.4399
_cell_angle_alpha 90.00
_cell_angle_beta 90.00
_cell_angle_gamma 90.00
_symmetry_space_group_name_H-M 'I 4/m m m'
_symmetry_Int_Tables_number 139
_symmetry_space_group_name_Hall '-I 4 2'
loop_
_atom_site_label
_atom_site_type_symbol
_atom_site_fract_x
_atom_site_fract_y
_atom_site_fract_z
_atom_site_occupancy
La1 La 0.0000 0.5000 0.2500 1
Ni1 Ni 0.0000 0.0000 0.1781 1
O1 O 0.0000 0.0000 0.5000 1
```

Calculated values
Electronic total energy in eV per atom: -4.008
DOS at the Fermi energy in states/eV per atom: 0.81
Distance to the lowest polymorph of the same formula in eV/f.u.: 0.07